# 1
This record from Alexandria via LeMat-Bulk describes a relaxed structure of Al2CuW. The functional is GGA-PBE.

Geometry as CIF:
```
data_Al2CuW
_chemical_formula_sum 'Al2 Cu1 W1'
_space_group_name_H-M_alt 'P m m m'
_space_group_IT_number 47
_cell_length_a 2.8017
_cell_length_b 3.5877
_cell_length_c 5.7801
_cell_angle_alpha 90.00
_cell_angle_beta 90.00
_cell_angle_gamma 90.00
loop_
_space_group_symop_operation_xyz
'x,y,z'
'-x,-y,-z'
'-x,-y,z'
'x,y,-z'
'x,-y,-z'
'-x,y,z'
'-x,y,-z'
'x,-y,z'
loop_
_atom_site_label
_atom_site_fract_x
_atom_site_fract_y
_atom_site_fract_z
_atom_site_occupancy
Al1 0.0000 0.0000 0.2431 1
Cu1 0.5000 0.5000 0.0000 1
W1 0.5000 0.5000 0.5000 1
```

ΔH_f (0 K), meV per atom: -24
Crystal system: orthorhombic
Density of states at the Fermi level, states/eV per cell: 2.3
Energy above the lowest structure with this stoichiometry, eV/f.u.: 0.26

# 2
This record from Alexandria via LeMat-Bulk describes a relaxed structure of SnS. The functional is GGA-PBE.

Geometry as CIF:
```
data_SnS
_chemical_formula_sum 'Sn8 S8'
_space_group_name_H-M_alt 'P 4/m'
_space_group_IT_number 83
_cell_length_a 11.2877
_cell_length_b 11.2877
_cell_length_c 3.8451
_cell_angle_alpha 90.00
_cell_angle_beta 90.00
_cell_angle_gamma 90.00
loop_
_space_group_symop_operation_xyz
'x,y,z'
'-x,-y,-z'
'-y,x,z'
'y,-x,-z'
'-x,-y,z'
'x,y,-z'
'y,-x,z'
'-y,x,-z'
loop_
_atom_site_label
_atom_site_fract_x
_atom_site_fract_y
_atom_site_fract_z
_atom_site_occupancy
Sn1 0.0740 0.2889 0.0000 1
Sn2 0.3059 0.5924 0.5000 1
S1 0.1779 0.5051 0.0000 1
S2 0.1922 0.7986 0.5000 1
```

Raw formation energy, eV/atom: -0.3659
Crystal system: tetragonal

# 3
This record from Alexandria via LeMat-Bulk describes a relaxed structure of SmDy5Y12. The functional is GGA-PBE.

Geometry as CIF:
```
data_SmDy5Y12
_chemical_formula_sum 'Sm1 Dy5 Y12'
_space_group_name_H-M_alt 'P 1 2/m 1'
_space_group_IT_number 10
_cell_length_a 10.6938
_cell_length_b 5.0415
_cell_length_c 10.7056
_cell_angle_alpha 90.00
_cell_angle_beta 90.11
_cell_angle_gamma 90.00
loop_
_space_group_symop_operation_xyz
'x,y,z'
'-x,-y,-z'
'-x,y,-z'
'x,-y,z'
loop_
_atom_site_label
_atom_site_fract_x
_atom_site_fract_y
_atom_site_fract_z
_atom_site_occupancy
Sm1 0.0000 0.0000 0.0000 1
Dy1 0.1673 0.5000 0.8327 1
Dy2 0.3334 0.0000 0.6666 1
Dy3 0.5000 0.5000 0.5000 1
Y1 0.0009 0.0000 0.6667 1
Y2 0.1665 0.5000 0.1665 1
Y3 0.1679 0.5000 0.5009 1
Y4 0.3333 0.0000 0.9991 1
Y5 0.3344 0.0000 0.3344 1
Y6 0.4991 0.5000 0.8320 1
```

ΔH_f (0 K), meV per atom: 23
Crystal system: monoclinic
Density of states at the Fermi level, states/eV per cell: 26.4

# 4
This record from Alexandria via LeMat-Bulk describes a relaxed structure of YHgPd. The functional is GGA-PBE.

Geometry as CIF:
```
data_YHgPd
_chemical_formula_sum 'Y1 Hg1 Pd1'
_space_group_name_H-M_alt 'P -6 m 2'
_space_group_IT_number 187
_space_group_name_Hall 'P -6 2'
_cell_length_a 4.7259
_cell_length_b 4.7259
_cell_length_c 3.4662
_cell_angle_alpha 90.00
_cell_angle_beta 90.00
_cell_angle_gamma 120.00
loop_
_atom_site_label
_atom_site_fract_x
_atom_site_fract_y
_atom_site_fract_z
_atom_site_occupancy
Y1 0.0000 0.0000 0.0000 1
Hg1 0.3333 0.6667 0.5000 1
Pd1 0.6667 0.3333 0.5000 1
```

ΔH_f (0 K), meV per atom: -602
Crystal system: hexagonal
Density of states at the Fermi level, states/eV per cell: 2.3

# 5
This record from Alexandria via LeMat-Bulk describes a relaxed structure of LiCa2Ni2. The functional is GGA-PBE.

Geometry as CIF:
```
data_LiCa2Ni2
_chemical_formula_sum 'Li2 Ca4 Ni4'
_space_group_name_H-M_alt 'P 4/m b m'
_space_group_IT_number 127
_space_group_name_Hall '-P 4 2ab'
_cell_length_a 8.0831
_cell_length_b 8.0831
_cell_length_c 3.2401
_cell_angle_alpha 90.00
_cell_angle_beta 90.00
_cell_angle_gamma 90.00
loop_
_atom_site_label
_atom_site_fract_x
_atom_site_fract_y
_atom_site_fract_z
_atom_site_occupancy
Li1 0.0000 0.0000 0.0000 1
Ca1 0.1505 0.3495 0.0000 1
Ni1 0.1444 0.6444 0.5000 1
```

ΔH_f (0 K), meV per atom: 174
Crystal system: tetragonal
Density of states at the Fermi level, states/eV per cell: 6.3
Energy above the lowest structure with this stoichiometry, eV/f.u.: 1.27

# 6
This record from Alexandria via LeMat-Bulk describes a relaxed structure of Ba3Li2Y2Tl4. The functional is GGA-PBE.

Geometry as CIF:
```
data_Ba3Li2Y2Tl4
_chemical_formula_sum 'Ba3 Li2 Y2 Tl4'
_space_group_name_H-M_alt 'P -3 m 1'
_space_group_IT_number 164
_space_group_name_Hall '-P 3 2"'
_cell_length_a 5.3983
_cell_length_b 5.3983
_cell_length_c 15.3957
_cell_angle_alpha 90.00
_cell_angle_beta 90.00
_cell_angle_gamma 120.00
loop_
_atom_site_label
_atom_site_fract_x
_atom_site_fract_y
_atom_site_fract_z
_atom_site_occupancy
Ba1 0.0000 0.0000 0.0000 1
Ba2 0.0000 0.0000 0.2622 1
Li1 0.3333 0.6667 0.1528 1
Y1 0.3333 0.6667 0.5697 1
Tl1 0.3333 0.6667 0.3709 1
Tl2 0.3333 0.6667 0.8579 1
```

ΔH_f (0 K), meV per atom: -156
Crystal system: trigonal
Density of states at the Fermi level, states/eV per cell: 13.3